Entry 1:
VASP calculation (PBE-GGA) on a geometry-optimized CaGa4Au structure.

Computed properties:
- SG: P-1
- Energy of formation from the pure elements: -0.3062 eV/atom
- Final energy: -38.447 eV for the cell shown

Structure (POSCAR):
```
CaGa4Au
1.0
0.265 5.646 -2.693
-2.660 1.657 5.386
6.513 0.859 1.390
Ca Ga Au
2 8 2
Direct
0.821 0.739 0.100
0.179 0.261 0.900
0.666 0.110 0.902
0.656 0.301 0.276
0.334 0.890 0.098
0.344 0.699 0.724
0.864 0.878 0.606
0.370 0.580 0.302
0.136 0.122 0.394
0.630 0.420 0.698
0.500 0.000 0.500
0.000 0.500 0.500
```


Entry 2:
VASP calculation (PBE-GGA) on a geometry-optimized FePt2Br structure.

Computed properties:
- SG: Pmmm
- Formation energy without anion corrections: 265.4 meV/atom
- Final energy: -21.156 eV for the cell shown
- Excess energy over the best structure of this formula in the dataset: 0.092 eV/atom

Structure (POSCAR):
```
FePt2Br
1.0
2.884 0.000 0.000
0.000 3.347 0.000
0.000 0.000 7.255
Br Fe Pt
1 1 2
Direct
0.500 0.500 0.250
0.500 0.500 0.750
0.000 0.000 0.947
0.000 0.000 0.553
```


Entry 3:
VASP calculation (PBE-GGA) on a geometry-optimized BaMg3Tl structure.

Computed properties:
- SG: Pm-3m
- Energy of formation from the pure elements: 0.9278 eV/atom
- Final energy: -4.434 eV for the cell shown
- Excess energy over the best structure of this formula in the dataset: 1.082 eV/atom

Structure (POSCAR):
```
BaMg3Tl
1.0
6.502 0.000 0.000
0.000 6.502 0.000
0.000 0.000 6.502
Mg Tl Ba
3 1 1
Direct
0.000 0.500 0.000
0.000 0.000 0.500
0.500 0.000 0.000
0.500 0.500 0.500
0.000 0.000 0.000
```


Q: Which of these has the highest final energy?
A: BaMg3Tl